# BaNpAg

A relaxed BaNpAg crystal (PBE-GGA, OQMD).

a = 5.361 Å, b = 5.361 Å, c = 5.361 Å
α = 60.00°, β = 60.00°, γ = 60.00°
Fractional coordinates of all 3 atoms:
Ag (0.000, 0.000, 0.000)
Ba (0.250, 0.250, 0.250)
Np (0.750, 0.750, 0.750)

size of the total moment = 5.67 μB per cell
space group = F-43m (216)
mass density = 7351 kg/m³
offset from the most stable computed form = 0 meV/atom
calculated volume = 108.92 Å³/cell

=====

# Ba2AgO4

A relaxed Ba2AgO4 crystal (PBE-GGA, OQMD).

a = 7.288 Å, b = 7.288 Å, c = 7.288 Å
α = 119.99°, β = 90.01°, γ = 119.99°
Fractional coordinates of all 14 atoms:
Ag (0.000, 0.000, 0.000)
Ag (0.750, 0.500, 0.250)
Ba (0.375, 0.750, 0.125)
Ba (0.375, 0.750, 0.625)
Ba (0.375, 0.250, 0.625)
Ba (0.875, 0.250, 0.625)
O (0.119, 0.239, 0.358)
O (0.108, 0.739, 0.369)
O (0.631, 0.261, 0.369)
O (0.631, 0.739, 0.369)
O (0.119, 0.761, 0.881)
O (0.119, 0.239, 0.881)
O (0.642, 0.761, 0.881)
O (0.631, 0.261, 0.892)

space group = Fd-3m (227)
mass density = 5416 kg/m³
calculated total energy = -67.67 eV per cell
calculated volume = 273.80 Å³/cell

=====

# Ba2AgO

A relaxed Ba2AgO crystal (PBE-GGA, OQMD).

a = 6.609 Å, b = 4.188 Å, c = 8.205 Å
α = 90.00°, β = 92.26°, γ = 90.00°
Fractional coordinates of all 8 atoms:
Ag (0.358, 0.750, 0.468)
Ag (0.642, 0.250, 0.532)
Ba (0.365, 0.250, 0.153)
Ba (0.873, 0.750, 0.257)
Ba (0.127, 0.250, 0.743)
Ba (0.635, 0.750, 0.847)
O (0.743, 0.250, 0.061)
O (0.257, 0.750, 0.939)

space group = P2_1/m (11)
mass density = 5833 kg/m³
calculated total energy = -32.69 eV per cell
calculated volume = 226.92 Å³/cell

=====

# Ba4AgO3

A relaxed Ba4AgO3 crystal (PBE-GGA, OQMD).

a = 7.218 Å, b = 3.861 Å, c = 7.308 Å
α = 90.00°, β = 91.30°, γ = 90.00°
Fractional coordinates of all 8 atoms:
Ag (0.236, 0.000, 0.979)
Ba (0.885, 0.000, 0.250)
Ba (0.442, 0.500, 0.300)
Ba (0.095, 0.500, 0.648)
Ba (0.651, 0.000, 0.796)
O (0.715, 0.500, 0.054)
O (0.225, 0.000, 0.444)
O (0.752, 0.500, 0.527)

space group = Pm (6)
mass density = 5751 kg/m³
calculated total energy = -39.15 eV per cell
calculated volume = 203.63 Å³/cell

=====

# Ba2AgO

A relaxed Ba2AgO crystal (PBE-GGA, OQMD).

a = 3.875 Å, b = 8.626 Å, c = 7.290 Å
α = 90.00°, β = 90.00°, γ = 90.00°
Fractional coordinates of all 8 atoms:
Ag (0.500, 0.809, 0.200)
Ag (0.000, 0.191, 0.700)
Ba (0.000, 0.139, 0.205)
Ba (0.000, 0.520, 0.386)
Ba (0.500, 0.861, 0.705)
Ba (0.500, 0.480, 0.886)
O (0.500, 0.356, 0.209)
O (0.000, 0.644, 0.709)

space group = Pmn2_1 (31)
mass density = 5432 kg/m³
calculated total energy = -33.05 eV per cell
calculated volume = 243.66 Å³/cell

=====

# Ba2AgO

A relaxed Ba2AgO crystal (PBE-GGA, OQMD).

a = 4.163 Å, b = 8.094 Å, c = 6.851 Å
α = 90.00°, β = 90.00°, γ = 90.00°
Fractional coordinates of all 8 atoms:
Ag (0.000, 0.998, 0.003)
Ag (0.000, 0.002, 0.503)
Ba (0.500, 0.242, 0.250)
Ba (0.000, 0.623, 0.252)
Ba (0.500, 0.758, 0.750)
Ba (0.000, 0.377, 0.752)
O (0.500, 0.503, 0.495)
O (0.500, 0.497, 0.995)

space group = Pmc2_1 (26)
mass density = 5734 kg/m³
calculated total energy = -32.97 eV per cell
calculated volume = 230.83 Å³/cell

=====

# Ba4Ag3O

A relaxed Ba4Ag3O crystal (PBE-GGA, OQMD).

a = 7.300 Å, b = 4.291 Å, c = 8.804 Å
α = 90.00°, β = 93.79°, γ = 90.00°
Fractional coordinates of all 8 atoms:
Ag (0.427, 0.000, 0.478)
Ag (0.671, 0.500, 0.546)
Ag (0.157, 0.000, 0.939)
Ba (0.375, 0.500, 0.179)
Ba (0.844, 0.000, 0.253)
Ba (0.155, 0.500, 0.650)
Ba (0.677, 0.000, 0.860)
O (0.695, 0.500, 0.095)

space group = Pm (6)
mass density = 5365 kg/m³
calculated total energy = -26.65 eV per cell
calculated volume = 275.14 Å³/cell

=====

# BaAg2O4

A relaxed BaAg2O4 crystal (PBE-GGA, OQMD).

a = 6.909 Å, b = 6.909 Å, c = 6.909 Å
α = 124.51°, β = 124.51°, γ = 82.35°
Fractional coordinates of all 14 atoms:
Ag (0.375, 0.625, 0.250)
Ag (0.875, 0.625, 0.250)
Ag (0.375, 0.125, 0.750)
Ag (0.375, 0.625, 0.750)
Ba (0.000, 0.000, 0.000)
Ba (0.750, 0.250, 0.500)
O (0.029, 0.656, 0.087)
O (0.406, 0.819, 0.127)
O (0.344, 0.431, 0.373)
O (0.721, 0.594, 0.413)
O (0.181, 0.309, 0.587)
O (0.059, 0.971, 0.627)
O (0.691, 0.279, 0.873)
O (0.569, 0.941, 0.913)

space group = I4_1/a (88)
mass density = 6437 kg/m³
calculated total energy = -67.46 eV per cell
calculated volume = 215.16 Å³/cell

=====

# BaPr2AgO5

A relaxed BaPr2AgO5 crystal (PBE-GGA, OQMD).

a = 6.793 Å, b = 6.793 Å, c = 6.127 Å
α = 90.00°, β = 90.00°, γ = 90.00°
Fractional coordinates of all 18 atoms:
Ag (0.500, 0.000, 0.000)
Ag (0.000, 0.500, 0.000)
Ba (0.000, 0.000, 0.000)
Ba (0.500, 0.500, 0.000)
O (0.648, 0.148, 0.254)
O (0.148, 0.352, 0.254)
O (0.852, 0.648, 0.254)
O (0.352, 0.852, 0.254)
O (0.000, 0.000, 0.500)
O (0.500, 0.500, 0.500)
O (0.648, 0.148, 0.746)
O (0.148, 0.352, 0.746)
O (0.852, 0.648, 0.746)
O (0.352, 0.852, 0.746)
Pr (0.329, 0.171, 0.500)
Pr (0.829, 0.329, 0.500)
Pr (0.171, 0.671, 0.500)
Pr (0.671, 0.829, 0.500)

size of the total moment = 2.00 μB per cell
space group = P4/mbm (127)
mass density = 7129 kg/m³
calculated total energy = -121.07 eV per cell
calculated volume = 282.76 Å³/cell

=====

# BaAgSO

A relaxed BaAgSO crystal (PBE-GGA, OQMD).

a = 4.120 Å, b = 4.120 Å, c = 11.291 Å
α = 90.00°, β = 90.00°, γ = 90.00°
Fractional coordinates of all 8 atoms:
Ag (0.750, 0.750, 0.109)
Ag (0.250, 0.250, 0.891)
Ba (0.250, 0.250, 0.379)
Ba (0.750, 0.750, 0.621)
O (0.750, 0.250, 0.500)
O (0.250, 0.750, 0.500)
S (0.250, 0.250, 0.111)
S (0.750, 0.750, 0.889)

space group = P4/nmm (129)
mass density = 5082 kg/m³
offset from the most stable computed form = 291 meV/atom
calculated volume = 191.63 Å³/cell

=====

# BaAgSO

A relaxed BaAgSO crystal (PBE-GGA, OQMD).

a = 6.203 Å, b = 4.079 Å, c = 13.371 Å
α = 90.00°, β = 90.00°, γ = 90.00°
Fractional coordinates of all 16 atoms:
Ag (0.720, 0.250, 0.130)
Ag (0.220, 0.250, 0.370)
Ag (0.780, 0.750, 0.630)
Ag (0.280, 0.750, 0.870)
Ba (0.223, 0.750, 0.154)
Ba (0.723, 0.750, 0.346)
Ba (0.277, 0.250, 0.654)
Ba (0.777, 0.250, 0.846)
O (0.469, 0.250, 0.248)
O (0.969, 0.250, 0.252)
O (0.031, 0.750, 0.748)
O (0.531, 0.750, 0.752)
S (0.746, 0.750, 0.037)
S (0.246, 0.750, 0.463)
S (0.754, 0.250, 0.537)
S (0.254, 0.250, 0.963)

space group = Pnma (62)
mass density = 5758 kg/m³
offset from the most stable computed form = 42 meV/atom
calculated volume = 338.30 Å³/cell

=====

# BaAgSO

A relaxed BaAgSO crystal (PBE-GGA, OQMD).

a = 4.240 Å, b = 4.240 Å, c = 11.900 Å
α = 90.00°, β = 90.00°, γ = 120.00°
Fractional coordinates of all 8 atoms:
Ag (0.000, 0.000, 0.017)
Ag (0.000, 0.000, 0.517)
Ba (0.333, 0.667, 0.273)
Ba (0.667, 0.333, 0.773)
O (0.000, 0.000, 0.331)
O (0.000, 0.000, 0.831)
S (0.667, 0.333, 0.067)
S (0.333, 0.667, 0.567)

space group = P6_3mc (186)
mass density = 5257 kg/m³
offset from the most stable computed form = 2 meV/atom
calculated volume = 185.28 Å³/cell

=====

# BaAgSO

A relaxed BaAgSO crystal (PBE-GGA, OQMD).

a = 7.347 Å, b = 13.228 Å, c = 7.332 Å
α = 90.00°, β = 90.00°, γ = 90.00°
Fractional coordinates of all 32 atoms:
Ag (0.255, 0.036, 0.000)
Ag (0.245, 0.536, 0.000)
Ag (0.755, 0.036, 0.500)
Ag (0.745, 0.536, 0.500)
Ag (0.255, 0.464, 0.500)
Ag (0.245, 0.964, 0.500)
Ag (0.755, 0.464, 0.000)
Ag (0.745, 0.964, 0.000)
Ba (0.016, 0.249, 0.250)
Ba (0.484, 0.749, 0.250)
Ba (0.516, 0.249, 0.250)
Ba (0.984, 0.749, 0.250)
Ba (0.016, 0.251, 0.750)
Ba (0.484, 0.751, 0.750)
Ba (0.516, 0.251, 0.750)
Ba (0.984, 0.751, 0.750)
O (0.766, 0.284, 0.000)
O (0.734, 0.784, 0.000)
O (0.266, 0.284, 0.500)
O (0.234, 0.784, 0.500)
O (0.766, 0.216, 0.500)
O (0.734, 0.716, 0.500)
O (0.266, 0.216, 0.000)
O (0.234, 0.716, 0.000)
S (0.501, 0.500, 0.244)
S (0.999, 0.000, 0.244)
S (0.001, 0.500, 0.256)
S (0.499, 0.000, 0.256)
S (0.501, 0.000, 0.744)
S (0.999, 0.500, 0.744)
S (0.001, 0.000, 0.756)
S (0.499, 0.500, 0.756)

space group = Pbca (61)
mass density = 5467 kg/m³
offset from the most stable computed form = 26 meV/atom
calculated volume = 712.61 Å³/cell

=====

# BaAgSO

A relaxed BaAgSO crystal (PBE-GGA, OQMD).

a = 9.107 Å, b = 9.714 Å, c = 8.248 Å
α = 90.00°, β = 90.00°, γ = 90.00°
Fractional coordinates of all 32 atoms:
Ag (0.000, 0.258, 0.250)
Ag (0.500, 0.758, 0.250)
Ag (0.500, 0.258, 0.250)
Ag (0.000, 0.758, 0.250)
Ag (0.000, 0.242, 0.750)
Ag (0.500, 0.742, 0.750)
Ag (0.500, 0.242, 0.750)
Ag (0.000, 0.742, 0.750)
Ba (0.750, 0.061, 0.002)
Ba (0.750, 0.561, 0.002)
Ba (0.250, 0.061, 0.498)
Ba (0.250, 0.561, 0.498)
Ba (0.750, 0.439, 0.502)
Ba (0.750, 0.939, 0.502)
Ba (0.250, 0.439, 0.998)
Ba (0.250, 0.939, 0.998)
O (0.750, 0.264, 0.237)
O (0.750, 0.764, 0.237)
O (0.250, 0.264, 0.263)
O (0.250, 0.764, 0.263)
O (0.750, 0.236, 0.737)
O (0.750, 0.736, 0.737)
O (0.250, 0.236, 0.763)
O (0.250, 0.736, 0.763)
S (0.500, 0.008, 0.250)
S (0.000, 0.508, 0.250)
S (0.000, 0.008, 0.250)
S (0.500, 0.508, 0.250)
S (0.500, 0.492, 0.750)
S (0.000, 0.992, 0.750)
S (0.000, 0.492, 0.750)
S (0.500, 0.992, 0.750)

space group = Pbcm (57)
mass density = 5339 kg/m³
offset from the most stable computed form = 96 meV/atom
calculated volume = 729.70 Å³/cell

=====

# Ba2AgSO6

A relaxed Ba2AgSO6 crystal (PBE-GGA, OQMD).

a = 5.743 Å, b = 5.743 Å, c = 5.743 Å
α = 60.23°, β = 60.23°, γ = 60.23°
Fractional coordinates of all 10 atoms:
Ag (0.499, 0.499, 0.499)
Ba (0.250, 0.250, 0.250)
Ba (0.750, 0.750, 0.750)
O (0.793, 0.218, 0.196)
O (0.781, 0.804, 0.206)
O (0.196, 0.793, 0.218)
O (0.804, 0.206, 0.781)
O (0.218, 0.196, 0.793)
O (0.206, 0.781, 0.804)
S (0.000, 0.000, 0.000)

space group = R-3 (148)
mass density = 6297 kg/m³
calculated total energy = -55.21 eV per cell
calculated volume = 134.63 Å³/cell

=====

# BaAgSO

A relaxed BaAgSO crystal (PBE-GGA, OQMD).

a = 6.973 Å, b = 6.973 Å, c = 6.206 Å
α = 90.00°, β = 90.00°, γ = 34.13°
Fractional coordinates of all 8 atoms:
Ag (0.879, 0.879, 0.401)
Ag (0.121, 0.121, 0.901)
Ba (0.595, 0.595, 0.406)
Ba (0.405, 0.405, 0.906)
O (0.999, 0.999, 0.156)
O (0.001, 0.001, 0.656)
S (0.288, 0.288, 0.429)
S (0.712, 0.712, 0.929)

space group = Cmc2_1 (36)
mass density = 5753 kg/m³
offset from the most stable computed form = 40 meV/atom
calculated volume = 169.31 Å³/cell

=====

# BaAgSO

A relaxed BaAgSO crystal (PBE-GGA, OQMD).

a = 4.220 Å, b = 4.220 Å, c = 11.981 Å
α = 90.00°, β = 90.00°, γ = 120.00°
Fractional coordinates of all 8 atoms:
Ag (0.333, 0.667, 0.238)
Ag (0.667, 0.333, 0.738)
Ba (0.000, 0.000, 0.001)
Ba (0.000, 0.000, 0.501)
O (0.000, 0.000, 0.301)
O (0.000, 0.000, 0.801)
S (0.667, 0.333, 0.147)
S (0.333, 0.667, 0.647)

space group = P6_3mc (186)
mass density = 5271 kg/m³
offset from the most stable computed form = 528 meV/atom
calculated volume = 184.79 Å³/cell

=====

# BaAgSO

A relaxed BaAgSO crystal (PBE-GGA, OQMD).

a = 6.881 Å, b = 7.912 Å, c = 6.570 Å
α = 90.00°, β = 90.00°, γ = 90.00°
Fractional coordinates of all 16 atoms:
Ag (0.512, 0.359, 0.476)
Ag (0.012, 0.641, 0.476)
Ag (0.988, 0.359, 0.976)
Ag (0.488, 0.641, 0.976)
Ba (0.048, 0.165, 0.456)
Ba (0.548, 0.835, 0.456)
Ba (0.452, 0.165, 0.956)
Ba (0.952, 0.835, 0.956)
O (0.103, 0.111, 0.071)
O (0.603, 0.889, 0.071)
O (0.397, 0.111, 0.571)
O (0.897, 0.889, 0.571)
S (0.759, 0.480, 0.248)
S (0.259, 0.520, 0.248)
S (0.741, 0.480, 0.748)
S (0.241, 0.520, 0.748)

space group = Pca2_1 (29)
mass density = 5446 kg/m³
offset from the most stable computed form = 0 meV/atom
calculated volume = 357.66 Å³/cell

=====

# BaAgSO

A relaxed BaAgSO crystal (PBE-GGA, OQMD).

a = 7.488 Å, b = 7.488 Å, c = 6.807 Å
α = 90.00°, β = 90.00°, γ = 28.98°
Fractional coordinates of all 8 atoms:
Ag (0.668, 0.668, 0.466)
Ag (0.332, 0.332, 0.966)
Ba (0.911, 0.911, 0.360)
Ba (0.089, 0.089, 0.860)
O (0.072, 0.072, 0.486)
O (0.928, 0.928, 0.986)
S (0.726, 0.726, 0.081)
S (0.274, 0.274, 0.581)

space group = Cmc2_1 (36)
mass density = 5267 kg/m³
offset from the most stable computed form = 241 meV/atom
calculated volume = 184.92 Å³/cell

=====

# BaAgSO

A relaxed BaAgSO crystal (PBE-GGA, OQMD).

a = 6.059 Å, b = 9.217 Å, c = 6.897 Å
α = 90.00°, β = 90.00°, γ = 90.00°
Fractional coordinates of all 16 atoms:
Ag (0.751, 0.750, 0.001)
Ag (0.249, 0.250, 0.499)
Ag (0.749, 0.250, 0.501)
Ag (0.251, 0.750, 0.999)
Ba (0.498, 0.402, 0.077)
Ba (0.502, 0.902, 0.423)
Ba (0.002, 0.598, 0.577)
Ba (0.998, 0.098, 0.923)
O (0.500, 0.673, 0.197)
O (0.500, 0.173, 0.303)
O (0.000, 0.327, 0.697)
O (0.000, 0.827, 0.803)
S (0.999, 0.361, 0.234)
S (0.001, 0.861, 0.266)
S (0.501, 0.639, 0.734)
S (0.499, 0.139, 0.766)

space group = P2_12_12_1 (19)
mass density = 5057 kg/m³
offset from the most stable computed form = 61 meV/atom
calculated volume = 385.19 Å³/cell